The following is a GGA-PBE calculation of LiScHg after structural relaxation, from OQMD.

Values from the calculation:
Total energy, eV per atom: -2.64
Total magnetic moment, μB per formula unit: 0.01
SG: F-43m

Lattice parameters (Å, degrees): 4.689 4.689 4.689 60.00 60.00 60.00
Fractional positions:
Li (0.000, 0.000, 0.000)
Sc (0.750, 0.750, 0.750)
Hg (0.500, 0.500, 0.500)